The following is a PBE-GGA calculation of an optimized crystal structure of GaSnBi3, from the Alexandria database.

Cell: 5.842 5.842 5.842 Å, 90.00 90.00 90.00°
Fractional coordinates of all 5 atoms:
Bi (0.000, 0.000, 0.500)
Bi (0.500, 0.000, 0.000)
Bi (0.000, 0.500, 0.000)
Ga (0.500, 0.500, 0.500)
Sn (0.000, 0.000, 0.000)

Values from the calculation:
space-group type: Pm-3m, No. 221
Fermi-level density of states: 4.0 states/eV/cell
calculated density: 6.79 g/cm3
energy of formation: 0.682 eV per atom


The following is a PBE-GGA calculation of an optimized crystal structure of MgTe2Au, from the Alexandria database.

Cell: 5.139 4.561 4.560 Å, 77.76 90.00 90.00°
Fractional coordinates of all 4 atoms:
Au (0.000, 0.510, 0.510)
Mg (0.500, 0.735, 0.735)
Te (0.000, 0.927, 0.927)
Te (0.500, 0.328, 0.328)

Values from the calculation:
space-group type: Amm2, No. 38
Fermi-level density of states: 1.5 states/eV/cell
uncorrected formation energy: -36.96 kJ per mole of atoms
calculated density: 7.57 g/cm3